Entry 1:
Here is a geometry-optimized SrHg2Br structure from Alexandria. Energies are from PBE-GGA.

Results
Its space-group type is Cm.

Unit cell a=5.6567 b=5.6567 c=6.0065 alpha=70.71 beta=70.71 gamma=46.09
Element x y z (fractional)
Sr: 0.5044 0.5044 0.4142
Hg: 0.0184 0.0184 0.9413
Hg: 0.7544 0.7544 0.8040
Br: 0.2228 0.2228 0.3405

---

Entry 2:
Here is a geometry-optimized SrHgBr structure from Alexandria. Energies are from PBE-GGA.

Results
Its space-group type is P-3m1.

Unit cell a=4.3881 b=4.3881 c=27.9119 alpha=90.00 beta=90.00 gamma=120.00
Element x y z (fractional)
Br: 0.3333 0.6667 0.4368
Br: 0.6667 0.3333 0.6920
Br: 0.6667 0.3333 0.5632
Br: 0.3333 0.6667 0.3080
Sr: 0.6667 0.3333 0.8948
Sr: 0.3333 0.6667 0.6276
Sr: 0.3333 0.6667 0.1052
Sr: 0.6667 0.3333 0.3724
Hg: 0.3333 0.6667 0.8136
Hg: 0.6667 0.3333 0.1864
Hg: 0.3333 0.6667 0.9703
Hg: 0.6667 0.3333 0.0297

---

Entry 3:
Here is a geometry-optimized Sr5Hg3Br12 structure from Alexandria. Energies are from PBE-GGA.

Results
Its space-group type is Ia-3d.

Unit cell a=16.3042 b=16.3042 c=16.3042 alpha=109.47 beta=109.47 gamma=109.47
Element x y z (fractional)
Br: 0.0364 0.6170 0.7121
Br: 0.7879 0.3243 0.9049
Br: 0.0806 0.9049 0.1170
Br: 0.9194 0.8243 0.5364
Br: 0.4194 0.3830 0.5951
Br: 0.1170 0.7121 0.5364
Br: 0.9194 0.0951 0.8830
Br: 0.8830 0.2879 0.4636
Br: 0.3830 0.4194 0.0951
Br: 0.5806 0.6170 0.4049
Br: 0.1170 0.4049 0.0806
Br: 0.0951 0.9194 0.3830
Br: 0.3830 0.9636 0.7879
Br: 0.0806 0.1757 0.4636
Br: 0.5364 0.3243 0.9194
Br: 0.1757 0.0951 0.7121
Br: 0.6757 0.2121 0.5951
Br: 0.4194 0.0364 0.3243
Br: 0.4049 0.2879 0.3243
Br: 0.7121 0.1170 0.0364
Br: 0.2121 0.5364 0.6170
Br: 0.2879 0.8830 0.9636
Br: 0.8243 0.9194 0.0364
Br: 0.5806 0.9636 0.6757
Br: 0.4636 0.7879 0.8830
Br: 0.6170 0.5806 0.9049
Br: 0.8830 0.5951 0.9194
Br: 0.9049 0.0806 0.6170
Br: 0.9049 0.8243 0.7879
Br: 0.9636 0.5806 0.1757
Br: 0.0364 0.4194 0.8243
Br: 0.7121 0.5951 0.1757
Br: 0.6170 0.0364 0.2121
Br: 0.8243 0.9049 0.2879
Br: 0.2879 0.4049 0.8243
Br: 0.9636 0.3830 0.2879
Br: 0.7879 0.4636 0.3830
Br: 0.4636 0.6757 0.0806
Br: 0.5951 0.7121 0.6757
Br: 0.2121 0.6757 0.0951
Br: 0.5364 0.2121 0.1170
Br: 0.1757 0.0806 0.9636
Br: 0.6757 0.4636 0.5806
Br: 0.0951 0.1757 0.2121
Br: 0.3243 0.7879 0.4049
Br: 0.3243 0.5364 0.4194
Br: 0.4049 0.1170 0.5806
Br: 0.5951 0.8830 0.4194
Hg: 0.7500 0.8750 0.6250
Hg: 0.1250 0.8750 0.7500
Hg: 0.3750 0.7500 0.6250
Hg: 0.2500 0.6250 0.8750
Hg: 0.8750 0.7500 0.1250
Hg: 0.8750 0.1250 0.2500
Hg: 0.1250 0.2500 0.8750
Hg: 0.6250 0.3750 0.7500
Hg: 0.6250 0.2500 0.3750
Hg: 0.3750 0.6250 0.2500
Hg: 0.7500 0.3750 0.1250
Hg: 0.2500 0.1250 0.3750
Sr: 0.0000 0.0000 0.5000
Sr: 0.6250 0.8750 0.2500
Sr: 0.6250 0.7500 0.8750
Sr: 0.5000 0.0000 0.0000
Sr: 0.5000 0.5000 0.5000
Sr: 0.3750 0.2500 0.1250
Sr: 0.0000 0.5000 0.5000
Sr: 0.7500 0.1250 0.8750
Sr: 0.8750 0.2500 0.6250
Sr: 0.3750 0.1250 0.7500
Sr: 0.8750 0.6250 0.7500
Sr: 0.5000 0.5000 0.0000
Sr: 0.7500 0.6250 0.3750
Sr: 0.2500 0.8750 0.1250
Sr: 0.2500 0.3750 0.6250
Sr: 0.1250 0.3750 0.2500
Sr: 0.1250 0.7500 0.3750
Sr: 0.0000 0.0000 0.0000
Sr: 0.0000 0.5000 0.0000
Sr: 0.5000 0.0000 0.5000

---

Entry 4:
Here is a geometry-optimized Sr2Hg2Br structure from Alexandria. Energies are from PBE-GGA.

Results
Its space-group type is P4/mbm.

Unit cell a=8.6670 b=8.6670 c=4.7177 alpha=90.00 beta=90.00 gamma=90.00
Element x y z (fractional)
Br: 0.5000 0.5000 0.0000
Br: 0.0000 0.0000 0.0000
Sr: 0.6791 0.1791 0.0000
Sr: 0.8209 0.6791 0.0000
Sr: 0.1791 0.3209 0.0000
Sr: 0.3209 0.8209 0.0000
Hg: 0.1210 0.6210 0.5000
Hg: 0.3790 0.1210 0.5000
Hg: 0.6210 0.8790 0.5000
Hg: 0.8790 0.3790 0.5000

---

| no. | uncorrected energy (eV/atom) | V (Å³ per cell) | ΔE_f (raw) (eV/atom) |
| --- | --- | --- | --- |
| 1 | -1.79 | 129 | -0.80 |
| 2 | -2.30 | 465 | -1.08 |
| 3 | -2.92 | 3336 | -1.45 |
| 4 | -1.95 | 354 | -0.82 |